DFT (GGA-PBE) results for a geometry-optimized Li2FeCoH6 structure.

Results
* V: 6.538 Å³ per atom
* calculated total energy: -0.14911 hartree per atom

a b c (Å): 4.522 4.522 4.522
angles (deg): 60.00 60.00 60.00
Positions (direct):
Li (0.250, 0.250, 0.250)
Li (0.750, 0.750, 0.750)
Fe (0.000, 0.000, 0.000)
Co (0.500, 0.500, 0.500)
H (0.252, 0.252, 0.748)
H (0.252, 0.748, 0.252)
H (0.252, 0.748, 0.748)
H (0.748, 0.252, 0.252)
H (0.748, 0.252, 0.748)
H (0.748, 0.748, 0.252)


DFT (GGA-PBE) results for a geometry-optimized CuSnHg2 structure.

Results
* V: 22.092 Å³ per atom
* calculated total energy: -0.06621 hartree per atom

a b c (Å): 5.000 5.000 5.000
angles (deg): 60.00 60.00 60.00
Positions (direct):
Cu (0.000, 0.000, 0.000)
Sn (0.750, 0.750, 0.750)
Hg (0.250, 0.250, 0.250)
Hg (0.500, 0.500, 0.500)


DFT (GGA-PBE) results for a geometry-optimized LaPuAl structure.

Results
* polymorph energy (0 for the lowest one): 127.4 meV/atom
* V: 29.641 Å³ per atom
* calculated total energy: -0.26568 hartree per atom

a b c (Å): 5.010 5.010 5.010
angles (deg): 60.00 60.00 60.00
Positions (direct):
La (0.000, 0.000, 0.000)
Pu (0.250, 0.250, 0.250)
Al (0.750, 0.750, 0.750)


DFT (GGA-PBE) results for a geometry-optimized NdInNi5 structure.

Results
* V: 14.746 Å³ per atom
* calculated total energy: -0.19664 hartree per atom

a b c (Å): 10.308 10.308 10.308
angles (deg): 27.52 27.52 27.52
Positions (direct):
Nd (0.000, 0.000, 0.000)
Nd (0.500, 0.500, 0.500)
In (0.110, 0.110, 0.110)
In (0.890, 0.890, 0.890)
Ni (0.070, 0.567, 0.567)
Ni (0.199, 0.199, 0.199)
Ni (0.334, 0.334, 0.334)
Ni (0.433, 0.433, 0.930)
Ni (0.433, 0.930, 0.433)
Ni (0.567, 0.070, 0.567)
Ni (0.567, 0.567, 0.070)
Ni (0.666, 0.666, 0.666)
Ni (0.801, 0.801, 0.801)
Ni (0.930, 0.433, 0.433)


DFT (GGA-PBE) results for a geometry-optimized Cu7Sb structure.

Results
* V: 14.747 Å³ per atom
* calculated total energy: -0.13547 hartree per atom

a b c (Å): 2.745 3.405 25.243
angles (deg): 90.00 90.00 90.00
Positions (direct):
Cu (0.250, 0.250, 0.026)
Cu (0.250, 0.250, 0.127)
Cu (0.250, 0.250, 0.229)
Cu (0.250, 0.250, 0.331)
Cu (0.250, 0.250, 0.720)
Cu (0.250, 0.250, 0.822)
Cu (0.250, 0.250, 0.924)
Cu (0.750, 0.750, 0.076)
Cu (0.750, 0.750, 0.178)
Cu (0.750, 0.750, 0.280)
Cu (0.750, 0.750, 0.669)
Cu (0.750, 0.750, 0.771)
Cu (0.750, 0.750, 0.873)
Cu (0.750, 0.750, 0.974)
Sb (0.250, 0.250, 0.600)
Sb (0.750, 0.750, 0.400)


DFT (GGA-PBE) results for a geometry-optimized Ag2BiMo structure.

Results
* V: 19.198 Å³ per atom
* calculated total energy: -0.16541 hartree per atom

a b c (Å): 4.771 4.771 4.771
angles (deg): 60.00 60.00 60.00
Positions (direct):
Ag (0.000, 0.000, 0.000)
Ag (0.250, 0.250, 0.250)
Bi (0.500, 0.500, 0.500)
Mo (0.750, 0.750, 0.750)